[1]
Below is a relaxed CsPuHBr6 crystal, with properties calculated at the PBE level.

```
CsPuHBr6
1.0
6.6566 0.0000 0.0000
2.5085 7.3786 0.0000
0.0148 2.4784 7.4590
Cs Pu H Br
1 1 1 6
direct
0.0000 0.0000 0.0000
0.2208 0.2745 0.4057
0.6736 0.5159 0.4641
0.0200 0.0118 0.4977
0.4137 0.5582 0.3215
0.4475 0.1197 0.7356
0.4983 0.0526 0.2404
0.8748 0.5044 0.5756
0.9649 0.4746 0.0900
```

Values from the calculation:
DOS at the Fermi energy, states/eV/f.u.: 6.70
Crystal system: triclinic
Magnetic moment, μB/f.u.: 4.0
Total energy, eV for the cell shown: -39.18

[2]
Below is a relaxed CsPuH2Br8 crystal, with properties calculated at the PBE level.

```
CsPuH2Br8
1.0
7.3428 0.0000 0.0000
1.7882 7.1277 0.0000
3.0389 1.4550 9.5620
Cs Pu H Br
1 1 2 8
direct
0.0000 0.0000 0.0000
0.0000 0.0000 0.5000
0.2684 0.5663 0.7381
0.7316 0.4337 0.2619
0.2216 0.6477 0.5152
0.2237 0.1108 0.6234
0.2384 0.0983 0.2464
0.2924 0.5059 0.8805
0.7076 0.4941 0.1195
0.7616 0.9017 0.7536
0.7763 0.8892 0.3766
0.7784 0.3523 0.4848
```

Values from the calculation:
DOS at the Fermi energy, states/eV/f.u.: 11.27
Crystal system: triclinic
Magnetic moment, μB/f.u.: 3.0
Total energy, eV for the cell shown: -46.40

[3]
Below is a relaxed CsRbHBr crystal, with properties calculated at the PBE level.

```
CsRbHBr
1.0
0.0000 4.1161 4.1161
4.1161 0.0000 4.1161
4.1161 4.1161 0.0000
Cs Rb H Br
1 1 1 1
direct
0.0000 0.0000 0.0000
0.5000 0.5000 0.5000
0.2500 0.2500 0.2500
0.7500 0.7500 0.7500
```

Values from the calculation:
DOS at the Fermi energy, states/eV/f.u.: 0.00
Crystal system: cubic
Magnetic moment, μB/f.u.: 0.1
Total energy, eV for the cell shown: -10.31

[4]
Below is a relaxed CsRbHBr3 crystal, with properties calculated at the PBE level.

```
CsRbHBr3
1.0
2.6080 -8.8444 0.0000
2.6080 8.8444 0.0000
0.0000 0.0000 11.0369
Cs Rb H Br
2 2 2 6
direct
0.2346 0.7654 0.7500
0.7654 0.2346 0.2500
0.5000 0.5000 0.0000
0.5000 0.5000 0.5000
0.1272 0.8728 0.2500
0.8728 0.1272 0.7500
0.1309 0.8691 0.0946
0.1309 0.8691 0.4054
0.3960 0.6040 0.2500
0.6040 0.3960 0.7500
0.8691 0.1309 0.5946
0.8691 0.1309 0.9054
```

Values from the calculation:
DOS at the Fermi energy, states/eV/f.u.: 0.00
Crystal system: orthorhombic
Magnetic moment, μB/f.u.: 0.1
Total energy, eV for the cell shown: -35.51

[5]
Below is a relaxed CsRb2HBr crystal, with properties calculated at the PBE level.

```
CsRb2HBr
1.0
5.8102 0.0000 0.0000
0.0000 5.8102 0.0000
0.0000 0.0000 6.6064
Cs Rb H Br
1 2 1 1
direct
0.0000 0.0000 0.0000
0.0000 0.5000 0.5000
0.5000 0.0000 0.5000
0.0000 0.0000 0.5000
0.5000 0.5000 0.0000
```

Values from the calculation:
DOS at the Fermi energy, states/eV/f.u.: 2.61
Crystal system: tetragonal
Magnetic moment, μB/f.u.: 0.0
Total energy, eV for the cell shown: -10.58

[6]
Below is a relaxed CsTlHRhSBr crystal, with properties calculated at the PBE level.

```
CsTlHRhSBr
1.0
5.4496 0.0000 0.0000
0.0000 4.5382 0.0000
-2.2258 0.0000 6.6591
Cs Tl H Rh S Br
1 1 1 1 1 1
direct
0.0000 0.0000 0.0000
0.3222 0.5000 0.5393
0.9052 0.5000 0.7062
0.7898 0.5000 0.4727
0.8873 0.0000 0.4732
0.5188 0.5000 0.0463
```

Values from the calculation:
DOS at the Fermi energy, states/eV/f.u.: 2.49
Crystal system: monoclinic
Magnetic moment, μB/f.u.: 0.0
Total energy, eV for the cell shown: -22.98